First-principles (PBE-GGA) data for an optimized crystal structure of YB2Os2, as listed in Alexandria via LeMat-Bulk.

The structure in CIF format:
```
data_YB2Os2
_chemical_formula_sum 'Y2 B4 Os4'
_space_group_name_H-M_alt 'I 4/m m m'
_space_group_IT_number 139
_space_group_name_Hall '-I 4 2'
_cell_length_a 4.028
_cell_length_b 4.028
_cell_length_c 9.433
_cell_angle_alpha 90.00
_cell_angle_beta 90.00
_cell_angle_gamma 90.00
loop_
_atom_site_label
_atom_site_fract_x
_atom_site_fract_y
_atom_site_fract_z
Y1 0.000 0.000 0.000
B1 0.000 0.000 0.322
Os1 0.000 0.500 0.250
```

Properties
- ΔH_f (0 K): -0.39 eV/atom
- VASP energy: -88.407 eV per cell
- Total magnetization: 0.0000 μB/atom
- Fermi-level density of states: 0.437 states/eV per atom